The following is a GGA-PBE calculation of TbPm3Pb2 after structural relaxation, from the Alexandria database. Values from VASP.

## Properties
magnetization: 0.0 μB per formula unit
energy: -0.1773 Ha/atom
N(E_F): 6.2 states/eV/f.u.
energy relative to the elements: -0.44 eV/atom
polymorph energy (0 for the lowest one): 0.0 meV per atom
volume: 31.72 Å³/atom

Geometry as Quantum ESPRESSO input:
```
&SYSTEM
  ibrav = 0, nat = 6, ntyp = 3
/
ATOMIC_SPECIES
Tb 158.93 Tb.upf
Pm 145.00 Pm.upf
Pb 207.20 Pb.upf
ATOMIC_POSITIONS crystal
Tb 0.500 0.500 0.000
Pm 0.000 0.000 0.000
Pm 0.500 0.000 0.346
Pm 0.000 0.500 0.654
Pb 0.500 0.000 0.718
Pb 0.000 0.500 0.282
CELL_PARAMETERS angstrom
-0.257 2.653 3.802
-2.965 -3.021 1.908
6.776 -4.415 3.539
```

---

The following is a GGA-PBE calculation of TbPm4Pb after structural relaxation, from the Alexandria database. Values from VASP.

## Properties
magnetization: 0.0 μB per formula unit
energy: -0.1665 Ha/atom
N(E_F): 7.6 states/eV/f.u.
energy relative to the elements: 0.03 eV/atom
volume: 36.06 Å³/atom

Geometry as Quantum ESPRESSO input:
```
&SYSTEM
  ibrav = 0, nat = 12, ntyp = 3
/
ATOMIC_SPECIES
Pm 145.00 Pm.upf
Tb 158.93 Tb.upf
Pb 207.20 Pb.upf
ATOMIC_POSITIONS crystal
Pm 0.714 0.996 0.428
Pm 0.286 0.496 0.572
Pm 0.289 0.996 0.578
Pm 0.558 0.473 0.115
Tb 0.857 0.741 0.714
Pm 0.711 0.496 0.422
Pm 0.138 0.745 0.275
Pb 0.423 0.483 0.847
Pm 0.862 0.245 0.725
Pm 0.442 0.973 0.885
Tb 0.143 0.241 0.286
Pb 0.577 0.983 0.153
CELL_PARAMETERS angstrom
-4.511 2.283 1.879
-0.509 -4.918 4.754
8.609 5.336 6.441
```

---

The following is a GGA-PBE calculation of Tb2Pm2Pb5 after structural relaxation, from the Alexandria database. Values from VASP.

## Properties
magnetization: 0.0 μB per formula unit
energy: -0.1675 Ha/atom
N(E_F): 5.7 states/eV/f.u.
energy relative to the elements: -0.41 eV/atom
volume: 31.30 Å³/atom

Geometry as Quantum ESPRESSO input:
```
&SYSTEM
  ibrav = 0, nat = 18, ntyp = 3
/
ATOMIC_SPECIES
Pb 207.20 Pb.upf
Tb 158.93 Tb.upf
Pm 145.00 Pm.upf
ATOMIC_POSITIONS crystal
Pb 0.206 0.739 0.899
Tb 0.270 0.334 0.537
Pb 0.399 0.482 0.300
Pb 0.399 0.948 0.299
Pb 0.601 0.649 0.701
Pb 0.794 0.840 0.101
Tb 0.000 0.065 0.000
Pm 0.890 0.454 0.778
Tb 0.730 0.796 0.463
Pb 0.601 0.183 0.700
Pm 0.343 0.902 0.674
Pb 0.000 0.065 0.500
Pb 0.794 0.391 0.100
Tb 0.500 0.565 0.000
Pb 0.000 0.564 0.500
Pb 0.206 0.291 0.900
Pm 0.110 0.676 0.222
Pm 0.657 0.228 0.326
CELL_PARAMETERS angstrom
10.040 0.000 1.770
0.000 7.208 0.000
-3.299 -3.604 7.203
```

---

The following is a GGA-PBE calculation of Tb2PmPb3 after structural relaxation, from the Alexandria database. Values from VASP.

## Properties
magnetization: 0.0 μB per formula unit
energy: -0.1718 Ha/atom
N(E_F): 2.5 states/eV/f.u.
energy relative to the elements: -0.48 eV/atom
polymorph energy (0 for the lowest one): 30.5 meV per atom
volume: 29.38 Å³/atom

Geometry as Quantum ESPRESSO input:
```
&SYSTEM
  ibrav = 0, nat = 12, ntyp = 3
/
ATOMIC_SPECIES
Pb 207.20 Pb.upf
Tb 158.93 Tb.upf
Pm 145.00 Pm.upf
ATOMIC_POSITIONS crystal
Pb 0.944 0.423 0.665
Pb 0.619 0.250 0.000
Tb 0.214 0.903 0.666
Pb 0.381 0.750 0.000
Pb 0.056 0.577 0.335
Tb 0.452 0.403 0.666
Pm 0.122 0.250 0.000
Pm 0.878 0.750 0.000
Tb 0.786 0.097 0.334
Pb 0.278 0.077 0.335
Pb 0.722 0.923 0.665
Tb 0.548 0.597 0.334
CELL_PARAMETERS angstrom
6.474 0.000 0.000
0.000 6.467 0.021
-3.237 -1.585 8.415
```

---

The following is a GGA-PBE calculation of Tb4PmPb2 after structural relaxation, from the Alexandria database. Values from VASP.

## Properties
magnetization: 0.0 μB per formula unit
energy: -0.1454 Ha/atom
N(E_F): 9.4 states/eV/f.u.
energy relative to the elements: 0.43 eV/atom
volume: 34.55 Å³/atom

Geometry as Quantum ESPRESSO input:
```
&SYSTEM
  ibrav = 0, nat = 7, ntyp = 3
/
ATOMIC_SPECIES
Pm 145.00 Pm.upf
Pb 207.20 Pb.upf
Tb 158.93 Tb.upf
ATOMIC_POSITIONS crystal
Pm 0.000 0.000 0.000
Pb 0.369 0.369 0.738
Tb 0.500 0.000 0.000
Pb 0.631 0.631 0.262
Tb 0.182 0.182 0.364
Tb 0.818 0.818 0.636
Tb 0.000 0.500 0.000
CELL_PARAMETERS angstrom
5.421 0.000 0.000
0.000 5.421 0.000
-2.710 -2.710 8.230
```

---

The following is a GGA-PBE calculation of TbPm7Pb4 after structural relaxation, from the Alexandria database. Values from VASP.

## Properties
magnetization: 0.0 μB per formula unit
energy: -0.1670 Ha/atom
N(E_F): 10.9 states/eV/f.u.
energy relative to the elements: -0.15 eV/atom
volume: 32.69 Å³/atom

Geometry as Quantum ESPRESSO input:
```
&SYSTEM
  ibrav = 0, nat = 12, ntyp = 3
/
ATOMIC_SPECIES
Pm 145.00 Pm.upf
Tb 158.93 Tb.upf
Pb 207.20 Pb.upf
ATOMIC_POSITIONS crystal
Pm 0.698 0.376 0.227
Tb 0.000 0.000 0.000
Pm 0.209 0.110 0.472
Pb 0.435 0.760 0.370
Pm 0.945 0.374 0.735
Pb 0.565 0.240 0.630
Pm 0.302 0.624 0.773
Pm 0.055 0.626 0.265
Pb 0.700 0.671 0.929
Pb 0.300 0.329 0.071
Pm 0.791 0.890 0.528
Pm 0.500 0.000 0.000
CELL_PARAMETERS angstrom
5.943 0.000 0.000
2.971 9.150 0.241
2.971 0.554 7.229
```

---

The following is a GGA-PBE calculation of Tb4Pm4Pb after structural relaxation, from the Alexandria database. Values from VASP.

## Properties
magnetization: 0.0 μB per formula unit
energy: -0.1697 Ha/atom
N(E_F): 12.8 states/eV/f.u.
energy relative to the elements: -0.04 eV/atom
polymorph energy (0 for the lowest one): 52.4 meV per atom
volume: 32.63 Å³/atom

Geometry as Quantum ESPRESSO input:
```
&SYSTEM
  ibrav = 0, nat = 9, ntyp = 3
/
ATOMIC_SPECIES
Pm 145.00 Pm.upf
Pb 207.20 Pb.upf
Tb 158.93 Tb.upf
ATOMIC_POSITIONS crystal
Pm 0.300 0.792 0.605
Pb 0.000 0.000 0.000
Pm 0.700 0.208 0.395
Tb 0.359 0.423 0.788
Pm 0.028 0.644 0.175
Tb 0.707 0.873 0.551
Pm 0.972 0.356 0.825
Tb 0.641 0.577 0.212
Tb 0.293 0.127 0.449
CELL_PARAMETERS angstrom
8.153 -0.629 0.820
2.908 9.878 0.908
-0.354 0.443 3.555
```

---

The following is a GGA-PBE calculation of Tb3Pm2Pb after structural relaxation, from the Alexandria database. Values from VASP.

## Properties
magnetization: 0.0 μB per formula unit
energy: -0.1726 Ha/atom
N(E_F): 6.6 states/eV/f.u.
energy relative to the elements: -0.18 eV/atom
volume: 31.16 Å³/atom

Geometry as Quantum ESPRESSO input:
```
&SYSTEM
  ibrav = 0, nat = 6, ntyp = 3
/
ATOMIC_SPECIES
Tb 158.93 Tb.upf
Pm 145.00 Pm.upf
Pb 207.20 Pb.upf
ATOMIC_POSITIONS crystal
Tb 0.500 0.834 0.667
Pm 0.000 0.662 0.324
Pb 0.000 0.000 0.000
Tb 0.500 0.500 0.000
Tb 0.500 0.166 0.333
Pm 0.000 0.338 0.676
CELL_PARAMETERS angstrom
-1.776 3.156 -3.389
-4.473 -0.408 1.964
3.759 6.102 3.712
```